Entry 1:
Sm2CoTe2S2O14 after structural relaxation. Source: Alexandria via LeMat-Bulk, functional PBE with a Hubbard U.

abc: 5.4221 7.9979 8.2549
angles: 115.23 107.45 87.20
Site moments in Bohr magnetons follow the coordinates.
Element x y z (fractional)
Sm1 0.0942 0.2511 0.9815  0.00
O1 0.7203 0.8079 0.2583  0.04
S1 0.2158 0.7545 0.7512  0.00
Sm2 0.9058 0.7489 0.0185  0.00
O2 0.5084 0.2865 0.2118  0.00
O3 0.9503 0.3976 0.2655  0.00
O4 0.1335 0.7840 0.5780  0.02
O5 0.7493 0.0718 0.6633  0.04
O6 0.8665 0.2160 0.4220  0.02
O7 0.0497 0.6024 0.7345  0.00
O8 0.2457 0.5705 0.1079  0.00
O9 0.1820 0.9244 0.9173  0.00
O10 0.7543 0.4295 0.8921  0.00
Co1 0.0000 0.0000 0.5000  2.74
O11 0.8180 0.0756 0.0827  0.00
Te1 0.5253 0.2637 0.6543  0.00
S2 0.7842 0.2455 0.2488  0.00
O12 0.4916 0.7135 0.7882  0.00
O13 0.2507 0.9282 0.3367  0.04
O14 0.2797 0.1921 0.7417  0.04
Te2 0.4747 0.7363 0.3457  0.00

Calculated values
N(E_F) = 0.000 states/eV per atom
uncorrected energy = -6.566 eV per atom

---

Entry 2:
Sr3Co2S2O5 after structural relaxation. Source: Alexandria via LeMat-Bulk, functional PBE with a Hubbard U.

abc: 11.4487 11.4487 11.4487
angles: 159.68 159.68 28.90
Site moments in Bohr magnetons follow the coordinates.
Element x y z (fractional)
O1 0.0850 0.5850 0.5000  0.06
Sr1 0.3398 0.3398 0.0000  0.01
Sr2 0.6602 0.6602 0.0000  0.01
Sr3 0.5000 0.5000 0.0000  0.01
O2 0.4150 0.9150 0.5000  0.06
O3 0.5850 0.0850 0.5000  0.06
O4 0.0000 0.0000 0.0000  0.27
Co1 0.0848 0.0848 0.0000  2.54
O5 0.9150 0.4150 0.5000  0.06
S1 0.1923 0.1923 0.0000  0.07
Co2 0.9152 0.9152 0.0000  2.54
S2 0.8077 0.8077 0.0000  0.07

Calculated values
N(E_F) = 0.324 states/eV per atom
uncorrected energy = -5.572 eV per atom

---

Entry 3:
SrCoS2O8 after structural relaxation. Source: Alexandria via LeMat-Bulk, functional PBE with a Hubbard U.

abc: 4.8495 4.8495 7.7599
angles: 71.79 71.79 60.00
Site moments in Bohr magnetons follow the coordinates.
Element x y z (fractional)
O1 0.4281 0.7341 0.8238  0.03
O2 0.8150 0.8150 0.5549  0.01
O3 0.9861 0.5719 0.1762  0.03
O4 0.1850 0.1850 0.4451  0.01
O5 0.7341 0.0139 0.8238  0.03
O6 0.2659 0.9861 0.1762  0.03
S1 0.2539 0.2539 0.2382  0.00
Sr1 0.5000 0.5000 0.5000  0.00
O7 0.0139 0.4281 0.8238  0.03
S2 0.7461 0.7461 0.7618  0.00
Co1 0.0000 0.0000 0.0000  2.77
O8 0.5719 0.2659 0.1762  0.03

Calculated values
N(E_F) = 0.000 states/eV per atom
uncorrected energy = -6.296 eV per atom

---

Entry 4:
Tb2CoTe2S2O14 after structural relaxation. Source: Alexandria via LeMat-Bulk, functional PBE with a Hubbard U.

abc: 5.3651 7.9161 8.1823
angles: 115.44 107.31 86.65
Site moments in Bohr magnetons follow the coordinates.
Element x y z (fractional)
O1 0.7568 0.4333 0.8960  0.00
O2 0.7496 0.0729 0.6669  0.04
Tb1 0.9100 0.7480 0.0187  0.00
O3 0.2504 0.9271 0.3331  0.04
S1 0.7768 0.2439 0.2462  0.00
Tb2 0.0900 0.2520 0.9813  0.00
S2 0.2232 0.7561 0.7538  0.00
O4 0.4971 0.2842 0.2090  0.00
O5 0.0600 0.6025 0.7398  0.00
O6 0.5029 0.7158 0.7910  0.00
O7 0.1839 0.9284 0.9190  0.00
Te1 0.4774 0.7321 0.3418  0.00
Te2 0.5226 0.2679 0.6582  0.00
O8 0.7233 0.8052 0.2530  0.04
O9 0.8161 0.0716 0.0810  0.00
O10 0.8615 0.2185 0.4232  0.02
O11 0.2432 0.5667 0.1040  0.00
O12 0.1385 0.7815 0.5768  0.02
O13 0.9400 0.3975 0.2602  0.00
Co1 0.0000 0.0000 0.5000  2.74
O14 0.2767 0.1948 0.7470  0.04

Calculated values
N(E_F) = 0.000 states/eV per atom
uncorrected energy = -6.567 eV per atom

---

Entry 5:
CoTc2SO after structural relaxation. Source: Alexandria via LeMat-Bulk, functional PBE with a Hubbard U.

abc: 4.7301 3.9054 4.7301
angles: 90.00 90.00 90.00
Site moments in Bohr magnetons follow the coordinates.
Element x y z (fractional)
S1 0.0000 0.5000 0.0000  0.14
Co1 0.0000 0.0000 0.0000  1.17
Tc1 0.5000 0.0000 0.0000  3.06
Tc2 0.0000 0.0000 0.5000  2.98
O1 0.5000 0.5000 0.5000  0.11

Calculated values
N(E_F) = 1.209 states/eV per atom
uncorrected energy = -5.431 eV per atom

---

Entry 6:
Yb2CoTe2S2O14 after structural relaxation. Source: Alexandria via LeMat-Bulk, functional PBE with a Hubbard U.

abc: 5.4673 8.0521 8.2169
angles: 112.63 108.37 95.10
Site moments in Bohr magnetons follow the coordinates.
Element x y z (fractional)
O1 0.7039 0.4613 0.4231  0.01
S1 0.5749 0.2753 0.2621  0.00
O2 0.8701 0.0860 0.6118  0.02
O3 0.2205 0.8319 0.7581  0.01
Yb1 0.8414 0.7687 0.4851  0.52
O4 0.1112 0.4360 0.8525  0.12
O5 0.2961 0.5387 0.5769  0.01
O6 0.4432 0.6856 0.2230  0.12
O7 0.6347 0.8242 0.7065  0.01
Te1 0.1171 0.7598 0.1433  0.01
Co1 0.5000 0.5000 0.0000  3.08
O8 0.4420 0.2907 0.0786  0.07
O9 0.1299 0.9140 0.3882  0.02
O10 0.7795 0.1681 0.2419  0.01
Te2 0.8829 0.2402 0.8567  0.01
O11 0.5568 0.3144 0.7770  0.12
S2 0.4251 0.7247 0.7379  0.00
O12 0.8888 0.5640 0.1475  0.12
O13 0.3653 0.1758 0.2935  0.01
O14 0.5580 0.7093 0.9214  0.07
Yb2 0.1586 0.2313 0.5149  0.52

Calculated values
N(E_F) = 1.644 states/eV per atom
uncorrected energy = -6.087 eV per atom

---

Entry 7:
Co2SbO4 after structural relaxation. Source: Alexandria via LeMat-Bulk, functional PBE with a Hubbard U.

abc: 3.3991 5.1598 6.7127
angles: 121.26 104.67 90.00
Site moments in Bohr magnetons follow the coordinates.
Element x y z (fractional)
Co1 0.6619 0.7511 0.3238  2.66
O1 0.5701 0.3046 0.1403  0.03
Sb1 0.0000 0.0000 0.0000  -0.02
O2 0.4299 0.6954 0.8598  0.03
O3 0.1521 0.9449 0.3043  0.12
Co2 0.3381 0.2489 0.6762  2.66
O4 0.8479 0.0551 0.6957  0.12

Calculated values
N(E_F) = 0.135 states/eV per atom
uncorrected energy = -5.980 eV per atom

---

Entry 8:
CoSbO2 after structural relaxation. Source: Alexandria via LeMat-Bulk, functional PBE with a Hubbard U.

abc: 6.0494 6.0494 6.0494
angles: 34.94 34.94 34.94
Site moments in Bohr magnetons follow the coordinates.
Element x y z (fractional)
Co1 0.0000 0.0000 0.0000  2.03
Sb1 0.5000 0.5000 0.5000  0.01
O1 0.8932 0.8932 0.8932  0.03
O2 0.1068 0.1068 0.1068  0.03

Calculated values
N(E_F) = 0.175 states/eV per atom
uncorrected energy = -5.395 eV per atom